The following is a PBE calculation of a geometry-optimized Pr6Nd2Sm5 structure, from Alexandria via LeMat-Bulk.

DFT formation energy: 0.093 eV per atom
Density of states at the Fermi level: 1.2012 states/eV/atom
Raw total energy: -121.20 eV per cell

a b c (Å): 11.9845 20.9848 3.6883
angles (deg): 90.00 90.00 90.00
Atoms (fractional coordinates):
Pr 0.0606 0.0776 0.0000
Pr 0.0788 0.3658 0.0000
Pr 0.1791 0.6306 0.5000
Pr 0.3209 0.1306 0.5000
Pr 0.4212 0.8658 0.0000
Pr 0.4394 0.5776 0.0000
Pr 0.5606 0.4224 0.0000
Pr 0.5788 0.1342 0.0000
Pr 0.6791 0.8694 0.5000
Pr 0.8209 0.3694 0.5000
Pr 0.9212 0.6342 0.0000
Pr 0.9394 0.9224 0.0000
Nd 0.1712 0.7850 0.0000
Nd 0.3288 0.2850 0.0000
Nd 0.6712 0.7150 0.0000
Nd 0.8288 0.2150 0.0000
Sm 0.0000 0.5000 0.5000
Sm 0.0876 0.2231 0.5000
Sm 0.1992 0.9440 0.5000
Sm 0.3008 0.4440 0.5000
Sm 0.4124 0.7231 0.5000
Sm 0.5000 0.0000 0.5000
Sm 0.5876 0.2769 0.5000
Sm 0.6992 0.5560 0.5000
Sm 0.8008 0.0560 0.5000
Sm 0.9124 0.7769 0.5000



The following is a PBE calculation of a geometry-optimized Sr2CdP structure, from Alexandria via LeMat-Bulk.

DFT formation energy: -0.385 eV per atom
Density of states at the Fermi level: 0.7548 states/eV/atom
Raw total energy: -11.23 eV per cell
Excess energy over the best structure of this formula in the dataset: 273 meV per atom

a b c (Å): 6.5883 6.5883 6.5883
angles (deg): 139.62 139.62 58.43
Atoms (fractional coordinates):
Sr 0.0000 0.0000 0.0000
Sr 0.7500 0.2500 0.5000
Cd 0.2500 0.7500 0.5000
P 0.5000 0.5000 0.0000